<1>
Here is SmMgScHg after structural relaxation from Alexandria via LeMat-Bulk. Energies are from PBE.

The density of states at the Fermi level is 1.046 states/eV per atom.

Unit cell a=5.209 b=5.209 c=5.209 alpha=60.00 beta=60.00 gamma=60.00
Element x y z (fractional)
Sm (0.000, 0.000, 0.000)
Mg (0.750, 0.750, 0.750)
Sc (0.500, 0.500, 0.500)
Hg (0.250, 0.250, 0.250)


<2>
Here is SmMgScHg after structural relaxation from Alexandria via LeMat-Bulk. Energies are from PBE.

The density of states at the Fermi level is 1.149 states/eV per atom.

Unit cell a=3.656 b=3.656 c=7.494 alpha=90.00 beta=90.00 gamma=90.00
Element x y z (fractional)
Sm (0.000, 0.000, 0.000)
Mg (0.500, 0.500, 0.720)
Sc (0.000, 0.000, 0.490)
Hg (0.500, 0.500, 0.281)


Stability order, top to bottom: <2>, <1>


<1>
Here is TmMgScHg after structural relaxation from Alexandria via LeMat-Bulk. Energies are from PBE.

The density of states at the Fermi level is 1.119 states/eV per atom.

Unit cell a=5.116 b=5.116 c=5.116 alpha=60.00 beta=60.00 gamma=60.00
Element x y z (fractional)
Tm (0.000, 0.000, 0.000)
Mg (0.250, 0.250, 0.250)
Sc (0.500, 0.500, 0.500)
Hg (0.750, 0.750, 0.750)


<2>
Here is TmMgScHg after structural relaxation from Alexandria via LeMat-Bulk. Energies are from PBE.

The density of states at the Fermi level is 1.064 states/eV per atom.

Unit cell a=3.668 b=3.668 c=7.090 alpha=90.00 beta=90.00 gamma=90.00
Element x y z (fractional)
Tm (0.000, 0.000, 0.000)
Mg (0.500, 0.500, 0.272)
Sc (0.000, 0.000, 0.509)
Hg (0.500, 0.500, 0.740)


Stability order, top to bottom: <2>, <1>